First-principles (PBE-GGA) data for LaInCuPt3 after structural relaxation, as listed in Alexandria.

```
LaInCuPt3
1.0
2.867 -5.943 0.000
2.867 5.943 0.000
0.000 0.000 7.468
La In Cu Pt
2 2 2 6
Direct
0.172 0.828 0.750
0.828 0.172 0.250
0.128 0.872 0.250
0.872 0.128 0.750
0.422 0.578 0.750
0.578 0.422 0.250
0.249 0.249 0.000
0.249 0.249 0.500
0.352 0.648 0.250
0.648 0.352 0.750
0.751 0.751 0.000
0.751 0.751 0.500
```

Space group: No. 63
Fermi-level density of states, states/eV/f.u.: 1.77
Formation energy, eV/atom: -0.5371
Crystal system: orthorhombic